Dy12YTh3 | GGA-PBE | relaxed

Values from the calculation:
- energy of formation from the pure elements (meV per atom) = 34
- DOS(E_F) (states/eV/f.u.) = 22.9

Cell and atoms, written as POSCAR:
```
Dy12YTh3
1.0
5.0282 0.0000 0.0000
0.0000 5.0282 0.0000
0.0000 0.0000 20.0054
Dy Y Th
12 1 3
Direct
0.0000 0.0000 0.0000
0.0000 0.0000 0.2498
0.0000 0.0000 0.5000
0.0000 0.0000 0.7502
0.0000 0.5000 0.1246
0.0000 0.5000 0.3732
0.0000 0.5000 0.6268
0.0000 0.5000 0.8754
0.5000 0.0000 0.1246
0.5000 0.0000 0.3732
0.5000 0.0000 0.6268
0.5000 0.0000 0.8754
0.5000 0.5000 0.5000
0.5000 0.5000 0.0000
0.5000 0.5000 0.2489
0.5000 0.5000 0.7511
```


AlHg3Ge | GGA-PBE | relaxed

Values from the calculation:
- energy of formation from the pure elements (meV per atom) = 464
- DOS(E_F) (states/eV/f.u.) = 3.0

Cell and atoms, written as POSCAR:
```
AlHg3Ge
1.0
5.1868 0.0000 0.0000
0.0000 5.1868 0.0000
0.0000 0.0000 5.1868
Al Hg Ge
1 3 1
Direct
0.0000 0.0000 0.0000
0.0000 0.0000 0.5000
0.0000 0.5000 0.0000
0.5000 0.0000 0.0000
0.5000 0.5000 0.5000
```


Cs2Rb4AlAs2 | GGA-PBE | relaxed

Values from the calculation:
- energy of formation from the pure elements (meV per atom) = -209
- DOS(E_F) (states/eV/f.u.) = 4.8

Cell and atoms, written as POSCAR:
```
Cs2Rb4AlAs2
1.0
8.6733 -7.1086 0.0000
8.6733 7.1086 0.0000
-0.0597 0.0000 5.3424
Cs Rb Al As
2 4 1 2
Direct
0.1599 0.1599 0.4979
0.8401 0.8401 0.5021
0.2126 0.5304 0.0025
0.4696 0.7874 0.9975
0.5304 0.2126 0.0025
0.7874 0.4696 0.9975
0.5000 0.5000 0.5000
0.3674 0.3674 0.5025
0.6326 0.6326 0.4975
```


Ta2TlPt | GGA-PBE | relaxed

Values from the calculation:
- energy of formation from the pure elements (meV per atom) = 60
- E above lowest polymorph (meV/atom) = 46.8
- DOS(E_F) (states/eV/f.u.) = 3.4

Cell and atoms, written as POSCAR:
```
Ta2TlPt
1.0
4.1057 0.0000 0.0000
0.0000 4.1057 0.0000
0.0000 0.0000 4.3373
Ta Tl Pt
2 1 1
Direct
0.0000 0.5000 0.0000
0.5000 0.0000 0.0000
0.0000 0.0000 0.5000
0.5000 0.5000 0.5000
```


Which value of energy of formation from the pure elements does entry 1 give?
34 meV per atom


Which value of energy of formation from the pure elements does entry 2 give?
464 meV per atom


What did the second record say?
AlHg3Ge | GGA-PBE | relaxed

Values from the calculation:
- energy of formation from the pure elements (meV per atom) = 464
- DOS(E_F) (states/eV/f.u.) = 3.0

Cell and atoms, written as POSCAR:
```
AlHg3Ge
1.0
5.1868 0.0000 0.0000
0.0000 5.1868 0.0000
0.0000 0.0000 5.1868
Al Hg Ge
1 3 1
Direct
0.0000 0.0000 0.0000
0.0000 0.0000 0.5000
0.0000 0.5000 0.0000
0.5000 0.0000 0.0000
0.5000 0.5000 0.5000
```


Which value of DOS(E_F) does entry 1 give?
22.9 states/eV/f.u.